# SrCaMnF6

Crystalline SrCaMnF6 at its relaxed geometry (PBE+U, Alexandria).

Total DFT energy (no corrections), eV per cell: -53.342
SG: No. 149

Geometry as POSCAR:
```
SrCaMnF6
1.0
5.879 0.000 0.000
-2.940 5.092 0.000
0.000 0.000 4.865
Sr Ca Mn F
1 1 1 6
direct
0.000 0.000 0.000
0.667 0.333 0.500
0.333 0.667 0.000
0.011 0.366 0.239
0.011 0.645 0.761
0.355 0.366 0.761
0.355 0.989 0.239
0.634 0.645 0.239
0.634 0.989 0.761
```